{
  "formula": "MnZnPCl2",
  "functional": "PBE",
  "state": "optimized geometry",
  "raw_formation_energy_mev_per_atom": 233,
  "e_above_lowest_polymorph_mev_per_atom": 244.8,
  "magnetic_moment_mub_per_cell": 4.17,
  "lattice_angstrom": [[4.6882, 0.0000, 0.0000], [0.0000, 4.6882, 0.0000], [0.0000, 0.0000, 5.1069]],
  "species": ["Cl", "Mn", "Zn", "P", "Cl"],
  "frac_coords": [[0.5000, 0.0000, 0.0000], [0.5000, 0.5000, 0.5000], [0.0000, 0.0000, 0.0000], [0.0000, 0.0000, 0.5000], [0.0000, 0.5000, 0.0000]]
}